[1]
The following is a DFT calculation (GGA-PBE) of crystalline K2H4Pt at its relaxed geometry.

Results
Calculated total energy: -23.78 eV/cell
Crystal system: tetragonal

```
K2H4Pt
1.0
-0.1967 2.6005 -2.9971
-3.7407 -1.1227 -0.7286
-4.0575 5.1342 2.0879
H K Pt
4 2 1
Cartesian
-3.4953 3.9512 1.0245 H
-4.4996 2.6608 -2.6624 H
-1.8703 -0.5614 -0.3643 H
-0.0984 1.3002 -1.4986 H
-2.5556 1.9738 -0.7528 K
-5.4393 4.6382 -0.8850 K
0.0000 0.0000 0.0000 Pt
```


[2]
The following is a DFT calculation (GGA-PBE) of crystalline V2HgPd2 at its relaxed geometry.

Results
Energy relative to the elements: 0.06 eV per atom
Excess energy over the best structure of this formula in the dataset: 25.7 meV per atom
Crystal system: tetragonal

```
V2HgPd2
1.0
-4.7587 2.8386 -5.2639
-1.7941 -7.0947 -2.2039
-2.0691 -0.0495 1.8438
Hg Pd V
2 4 4
Cartesian
0.0000 0.0000 0.0000 Hg
-3.2764 -2.1281 -3.7339 Hg
-3.1051 -4.3343 -1.5174 Pd
-5.7389 -3.9214 -4.4620 Pd
-5.5168 0.0286 -4.1066 Pd
-2.8830 -0.3843 -1.1621 Pd
-3.4643 -5.2148 -4.0277 V
-5.3349 -1.7838 -6.0347 V
-3.0885 0.9587 -3.4401 V
-1.2179 -2.4724 -1.4331 V
```


[3]
The following is a DFT calculation (GGA-PBE) of crystalline NaHfTl at its relaxed geometry.

Results
Energy relative to the elements: 0.68 eV per atom
Excess energy over the best structure of this formula in the dataset: 692.6 meV per atom
Crystal system: orthorhombic

```
NaHfTl
1.0
-2.3291 2.1544 8.1789
1.3116 -5.9545 1.9420
4.7794 1.3782 0.9980
Na Tl Hf
4 4 4
Cartesian
3.5616 1.3174 6.9056 Na
1.4223 -1.9740 8.8011 Na
0.2003 -3.7394 4.2133 Na
2.3396 -0.4480 2.3178 Na
0.0000 0.0000 0.0000 Tl
1.8809 -1.2110 5.5594 Tl
1.2251 1.7663 4.5885 Tl
0.6558 -2.9773 0.9710 Tl
-0.4365 -0.7807 3.1726 Hf
2.9748 -3.4072 3.3581 Hf
4.1984 -1.6413 7.9462 Hf
0.7871 0.9852 7.7608 Hf
```


| no. | size of the total moment (μB/f.u.) |
| --- | --- |
| 1 | 0.00 |
| 2 | 0.00 |
| 3 | 0.00 |